! SmZn3Au9 PBE-GGA optimized geometry; values from VASP
! * formation energy: -0.323 eV per atom
! * symmetry: C2/m (12)
&SYSTEM
  ibrav = 0, nat = 13, ntyp = 3
/
ATOMIC_SPECIES
Sm 150.36 Sm.upf
Zn 65.41 Zn.upf
Au 196.97 Au.upf
CELL_PARAMETERS angstrom
-2.385 -2.550 -4.094
2.172 -6.670 -0.050
-6.287 -2.964 1.973
ATOMIC_POSITIONS angstrom
Sm 0.000 0.000 0.000
Zn -0.107 -4.610 -2.072
Zn -3.144 -1.482 0.987
Zn -4.336 -2.757 -1.060
Au -4.862 -9.335 -1.311
Au -1.638 -2.848 -0.859
Au -5.726 -5.083 -0.621
Au -0.774 -7.100 -1.549
Au -3.134 -4.997 -2.116
Au -3.367 -7.186 -0.054
Au -3.067 -7.966 -3.279
Au -3.433 -4.217 1.109
Au 1.086 -3.335 -0.025



! TbScSi2Tc PBE-GGA optimized geometry; values from VASP
! * total energy: -35.7 eV per cell
! * symmetry: I-4m2 (119)
&SYSTEM
  ibrav = 0, nat = 5, ntyp = 4
/
ATOMIC_SPECIES
Tb 158.93 Tb.upf
Sc 44.96 Sc.upf
Si 28.09 Si.upf
Tc 98.00 Tc.upf
CELL_PARAMETERS angstrom
-2.480 -0.286 3.117
2.142 -3.056 1.424
3.466 5.361 0.690
ATOMIC_POSITIONS angstrom
Tb 0.000 0.000 0.000
Sc 2.719 0.317 2.192
Si 0.505 -0.916 2.876
Si 2.622 2.935 2.355
Tc 0.408 1.702 3.039



Which formula does entry 1 have? SmZn3Au9